[1]
Compound: CdIr2W
Source: the Alexandria database
Functional: SCAN
Structure: single point on PBEsol structure

Summary:
Density of states at the Fermi level (states/eV/cell): 1.6
Total energy (eV per atom): -60.761
Formation energy (eV per atom): -0.19
Crystal system: tetragonal

Lattice parameters (Å, degrees): 2.8388 2.8388 7.7177 90.00 90.00 90.00
With the nearest neighbours (Å) after each atom.
Space group P4/mmm (No. 123)
Symmetry-distinct sites (fractional):
1 Cd 0.0000 0.0000 0.0000 x1  4 Cd 2.84, 8 Ir 2.89
2 Ir 0.5000 0.5000 0.2700 x2  4 W 2.68, 4 Ir 2.84, 4 Cd 2.89
3 W 0.0000 0.0000 0.5000 x1  8 Ir 2.68, 4 W 2.84

***

[2]
Compound: Ba2Mg
Source: the Alexandria database
Functional: SCAN
Structure: single point on PBEsol structure

Summary:
Density of states at the Fermi level (states/eV/cell): 123.6
Total energy (eV per atom): -28.022
Formation energy (eV per atom): 0.00
Crystal system: cubic

Lattice parameters (Å, degrees): 16.3337 16.3337 16.3337 90.00 90.00 90.00
With the nearest neighbours (Å) after each atom.
Space group Fd-3m (No. 227, origin choice 2)
Symmetry-distinct sites (fractional):
1 Ba 0.0000 0.0000 0.0000 x16  6 Mg 3.48
2 Ba 0.0636 0.3750 0.8750 x48  4 Mg 3.99-4.22, 10 Ba 4.20-4.36
3 Mg 0.0475 0.0475 0.2025 x32  3 Ba 3.48, 3 Mg 3.58

***

[3]
Compound: Na2B3HO6
Source: the Alexandria database
Functional: SCAN
Structure: single point on PBEsol structure

Summary:
Density of states at the Fermi level (states/eV/cell): 0.0
Total energy (eV per atom): -8.330
Crystal system: monoclinic

Lattice parameters (Å, degrees): 8.6841 11.9167 9.4975 90.00 95.76 90.00
With the nearest neighbours (Å) after each atom.
Space group P2_1/c (No. 14)
Symmetry-distinct sites (fractional):
1 Na 0.0257 0.1465 0.0425 x4  6 O 2.30-2.52, 2 H 2.50-2.51
2 Na 0.0869 0.6174 0.9419 x4  4 O 2.26-2.49
3 Na 0.4074 0.1576 0.0679 x4  5 O 2.36-2.56
4 Na 0.4328 0.6337 0.0680 x4  4 O 2.28-2.48
5 B 0.1437 0.1825 0.3195 x4  3 O 1.38
6 B 0.1798 0.0456 0.7803 x4  3 O 1.36-1.39
7 B 0.2641 0.0943 0.5434 x4  4 O 1.46-1.51
8 B 0.2852 0.6664 0.6510 x4  3 O 1.35-1.40
9 B 0.3127 0.0162 0.2927 x4  4 O 1.45-1.50
10 B 0.4522 0.0925 0.7638 x4  4 O 1.47-1.50
11 H 0.0480 0.5399 0.6827 x4  1 O 1.02
12 H 0.0694 0.7492 0.1775 x4  1 O 1.07
13 O 0.0192 0.2403 0.2534 x4  1 H 1.07
14 O 0.0606 0.0219 0.8627 x4  1 H 1.02
15 O 0.1546 0.0392 0.6354 x4  2 B 1.37-1.51
16 O 0.1701 0.1848 0.4648 x4  2 B 1.38-1.51
17 O 0.1908 0.7438 0.5835 x4  1 B 1.35, 1 H 1.45
18 O 0.2207 0.5805 0.7268 x4  2 B 1.40-1.50
19 O 0.2321 0.1202 0.2358 x4  2 B 1.38-1.50
20 O 0.3053 0.0081 0.4446 x4  2 B 1.45-1.46
21 O 0.3199 0.0730 0.8491 x4  2 B 1.36-1.49
22 O 0.3974 0.1439 0.6263 x4  2 B 1.46-1.48
23 O 0.4447 0.6736 0.6514 x4  2 B 1.39-1.50
24 O 0.4677 0.0156 0.2484 x4  2 B 1.45-1.47

***

[4]
Compound: Y2ZrCl
Source: the Alexandria database
Functional: SCAN
Structure: single point on PBEsol structure

Summary:
Formation energy (no corrections) (eV/atom): -0.61
Density of states at the Fermi level (states/eV/cell): 3.6
Total energy (eV per atom): -24.197
Crystal system: tetragonal

Lattice parameters (Å, degrees): 3.3192 3.3192 8.8278 90.00 90.00 90.00
With the nearest neighbours (Å) after each atom.
Space group P4/mmm (No. 123)
Symmetry-distinct sites (fractional):
1 Y 0.0000 0.0000 0.2436 x2  4 Cl 3.18, 4 Zr 3.26, 4 Y 3.32
2 Zr 0.5000 0.5000 0.5000 x1  8 Y 3.26, 4 Zr 3.32
3 Cl 0.5000 0.5000 0.0000 x1  8 Y 3.18, 4 Cl 3.32

***

[5]
Compound: TaAl2Tl
Source: the Alexandria database
Functional: SCAN
Structure: single point on PBEsol structure

Summary:
Excess energy over the best structure of this formula in the dataset (kJ/mol of formula units): 54.7
Density of states at the Fermi level (states/eV/cell): 2.2
Total energy (eV per atom): -38.380
Formation energy (eV per atom): 0.23
Crystal system: tetragonal

Lattice parameters (Å, degrees): 3.6107 3.6107 5.5901 90.00 90.00 90.00
With the nearest neighbours (Å) after each atom.
Space group P4mm (No. 99)
Symmetry-distinct sites (fractional):
1 Ta 0.0000 0.0000 0.0000 x1  6 Al 2.67-2.92, 4 Tl 2.98
2 Al 0.0000 0.0000 0.5215 x1  2 Ta 2.67-2.92, 4 Tl 2.90, 4 Al 2.94
3 Al 0.5000 0.5000 0.7822 x1  2 Tl 2.75-2.84, 4 Ta 2.83, 4 Al 2.94
4 Tl 0.5000 0.5000 0.2749 x1  6 Al 2.75-2.90, 4 Ta 2.98

***

[6]
Compound: KBe2Zn
Source: the Alexandria database
Functional: SCAN
Structure: single point on PBEsol structure

Summary:
Density of states at the Fermi level (states/eV/cell): 9.8
Total energy (eV per atom): -6.598
Formation energy (eV per atom): 1.04
Crystal system: cubic

Lattice parameters (Å, degrees): 6.5643 6.5643 6.5643 90.00 90.00 90.00
With the nearest neighbours (Å) after each atom.
Space group F-43m (No. 216)
Symmetry-distinct sites (fractional):
1 K 0.0000 0.0000 0.0000 x4  4 Be 2.84, 4 Zn 2.84
2 Be 0.0000 0.0000 0.5000 x4  4 Be 2.84, 4 Zn 2.84
3 Be 0.2500 0.2500 0.2500 x4  4 K 2.84, 4 Be 2.84
4 Zn 0.2500 0.2500 0.7500 x4  4 K 2.84, 4 Be 2.84

***

[7]
Compound: Sr2Cu3O5
Source: the Alexandria database
Functional: SCAN
Structure: single point on PBEsol structure

Summary:
Formation energy (no corrections) (eV/atom): -1.66
Excess energy over the best structure of this formula in the dataset (kJ/mol of formula units): 44.0
Density of states at the Fermi level (states/eV/cell): 6.4
Total energy (eV per atom): -13.788
Crystal system: orthorhombic

Lattice parameters (Å, degrees): 3.3986 3.9090 18.3074 90.00 90.00 90.00
With the nearest neighbours (Å) after each atom.
Space group Immm (No. 71)
Symmetry-distinct sites (fractional):
1 Sr 0.0000 0.0000 0.1062 x4  8 O 2.58-2.69
2 Cu 0.0000 0.0000 0.2873 x4  5 O 1.96-2.10
3 Cu 0.0000 0.0000 0.5000 x2  4 O 1.91-1.95
4 O 0.0000 0.0000 0.3958 x4  2 Cu 1.91-1.99
5 O 0.0000 0.5000 0.2797 x4  4 Cu 1.96-2.10
6 O 0.0000 0.5000 0.5000 x2  2 Cu 1.95

***

[8]
Compound: HW2F
Source: the Alexandria database
Functional: SCAN
Structure: single point on PBEsol structure

Summary:
Density of states at the Fermi level (states/eV/cell): 14.9
Total energy (eV per atom): -35.425
Crystal system: cubic

Lattice parameters (Å, degrees): 5.6173 5.6173 5.6173 90.00 90.00 90.00
With the nearest neighbours (Å) after each atom.
Space group Fm-3m (No. 225)
Symmetry-distinct sites (fractional):
1 H 0.0000 0.0000 0.0000 x4  8 W 2.43
2 W 0.2500 0.2500 0.2500 x8  4 F 2.43, 4 H 2.43
3 F 0.0000 0.0000 0.5000 x4  8 W 2.43

***

[9]
Compound: SrTe2Rh
Source: the Alexandria database
Functional: SCAN
Structure: single point on PBEsol structure

Summary:
Formation energy (no corrections) (eV/atom): -0.85
Excess energy over the best structure of this formula in the dataset (kJ/mol of formula units): 16.4
Density of states at the Fermi level (states/eV/cell): 1.0
Total energy (eV per atom): -33.490
Crystal system: monoclinic

Lattice parameters (Å, degrees): 5.2699 4.0697 5.2876 90.00 106.68 90.00
With the nearest neighbours (Å) after each atom.
Space group P2/m (No. 10)
Symmetry-distinct sites (fractional):
1 Sr 0.0000 0.0000 0.0000 x1  2 Rh 3.15, 4 Te 3.32
2 Te 0.3094 0.5000 0.6912 x2  2 Rh 2.60
3 Rh 0.5000 0.0000 0.5000 x1  4 Te 2.60

***

[10]
Compound: RbIF2
Source: the Alexandria database
Functional: SCAN
Structure: single point on PBEsol structure

Summary:
Formation energy (no corrections) (eV/atom): -1.96
Density of states at the Fermi level (states/eV/cell): 0.0
Total energy (eV per atom): -18.103
Crystal system: trigonal

Lattice parameters (Å, degrees): 4.5611 4.5611 18.8273 90.00 90.00 120.00
With the nearest neighbours (Å) after each atom.
Space group R-3m (No. 166, hexagonal axes)
Symmetry-distinct sites (fractional):
1 Rb 0.0000 0.0000 0.0000 x3  6 F 2.83
2 I 0.0000 0.0000 0.5000 x3  2 F 2.11
3 F 0.0000 0.0000 0.3880 x6  1 I 2.11

***

[11]
Compound: LiMnPO4
Source: the Alexandria database
Functional: SCAN
Structure: single point on PBEsol structure

Summary:
Formation energy (no corrections) (eV/atom): -2.43
Excess energy over the best structure of this formula in the dataset (kJ/mol of formula units): 42.2
Density of states at the Fermi level (states/eV/cell): 0.0
Total energy (eV per atom): -10.421
Crystal system: trigonal

Lattice parameters (Å, degrees): 4.9530 4.9530 23.4199 90.00 90.00 120.00
With the nearest neighbours (Å) after each atom.
Space group R-3 (No. 148, hexagonal axes)
Symmetry-distinct sites (fractional):
1 Li 0.0000 0.0000 0.1478 x6  3 O 2.02
2 Mn 0.0000 0.0000 0.2749 x6  4 O 1.94-2.07
3 P 0.0000 0.0000 0.4234 x6  4 O 1.54-1.55
4 O 0.0000 0.0000 0.3577 x6  1 P 1.54
5 O 0.0224 0.7139 0.4442 x18  1 P 1.55

***

Question: Number 8 is which compound?
Answer: HW2F

***

Question: density of states at the Fermi level of number 9 (SrTe2Rh)?
Answer: 1.0 states/eV/cell